Entry P
# PBE BaLiFe2, relaxed
data_BaLiFe2
_cell_length_a 3.390
_cell_length_b 4.681
_cell_length_c 9.775
_cell_angle_alpha 90.00
_cell_angle_beta 90.00
_cell_angle_gamma 90.00
_symmetry_space_group_name_H-M 'I m m m'
_symmetry_Int_Tables_number 71
_symmetry_space_group_name_Hall '-I 2 2'
loop_
_atom_site_label
_atom_site_type_symbol
_atom_site_fract_x
_atom_site_fract_y
_atom_site_fract_z
Ba1 Ba 0.000 0.000 0.000
Li1 Li 0.000 0.000 0.500
Fe1 Fe 0.000 0.500 0.234
# Total moment, μB per atom: 1.257
# N(E_F), states/eV per atom: 0.790

Entry Q
# PBE BaLiFe2, relaxed
data_BaLiFe2
_cell_length_a 3.161
_cell_length_b 4.435
_cell_length_c 6.509
_cell_angle_alpha 90.00
_cell_angle_beta 101.74
_cell_angle_gamma 90.00
_symmetry_space_group_name_H-M 'P 1 2/m 1'
_symmetry_Int_Tables_number 10
loop_
_symmetry_equiv_pos_as_xyz
'x,y,z'
'-x,-y,-z'
'-x,y,-z'
'x,-y,z'
loop_
_atom_site_label
_atom_site_type_symbol
_atom_site_fract_x
_atom_site_fract_y
_atom_site_fract_z
Ba1 Ba 0.000 0.000 0.000
Li1 Li 0.500 0.000 0.500
Fe1 Fe 0.287 0.500 0.636
# Total moment, μB per atom: 1.346
# N(E_F), states/eV per atom: 1.122

Entry R
# PBE BaLiFe2, relaxed
data_BaLiFe2
_cell_length_a 3.697
_cell_length_b 4.401
_cell_length_c 4.757
_cell_angle_alpha 90.00
_cell_angle_beta 90.00
_cell_angle_gamma 90.00
_symmetry_space_group_name_H-M 'P m m m'
_symmetry_Int_Tables_number 47
loop_
_symmetry_equiv_pos_as_xyz
'x,y,z'
'-x,-y,-z'
'-x,-y,z'
'x,y,-z'
'x,-y,-z'
'-x,y,z'
'-x,y,-z'
'x,-y,z'
loop_
_atom_site_label
_atom_site_type_symbol
_atom_site_fract_x
_atom_site_fract_y
_atom_site_fract_z
Ba1 Ba 0.000 0.000 0.000
Li1 Li 0.500 0.500 0.000
Fe1 Fe 0.000 0.500 0.500
Fe2 Fe 0.500 0.000 0.500
# Total moment, μB per atom: 1.118
# N(E_F), states/eV per atom: 0.713

Entry S
# PBE BaLiFe2, relaxed
data_BaLiFe2
_cell_length_a 3.285
_cell_length_b 3.285
_cell_length_c 8.001
_cell_angle_alpha 90.00
_cell_angle_beta 90.00
_cell_angle_gamma 90.00
_symmetry_space_group_name_H-M 'P 4 m m'
_symmetry_Int_Tables_number 99
loop_
_symmetry_equiv_pos_as_xyz
'x,y,z'
'-y,x,z'
'-x,-y,z'
'y,-x,z'
'-x,y,z'
'y,x,z'
'x,-y,z'
'-y,-x,z'
loop_
_atom_site_label
_atom_site_type_symbol
_atom_site_fract_x
_atom_site_fract_y
_atom_site_fract_z
Ba1 Ba 0.000 0.000 0.000
Li1 Li 0.500 0.500 0.622
Fe1 Fe 0.000 0.000 0.417
Fe2 Fe 0.500 0.500 0.306
# Total moment, μB per atom: 1.290
# N(E_F), states/eV per atom: 0.824

Which structure is most stable? entry S, by 165 meV per atom over the runner-up.

Entry P
# PBE BaLiFe2, relaxed
data_BaLiFe2
_cell_length_a 7.147
_cell_length_b 7.147
_cell_length_c 7.147
_cell_angle_alpha 90.00
_cell_angle_beta 90.00
_cell_angle_gamma 90.00
_symmetry_space_group_name_H-M 'F m -3 m'
_symmetry_Int_Tables_number 225
_symmetry_space_group_name_Hall '-F 4 2 3'
loop_
_atom_site_label
_atom_site_type_symbol
_atom_site_fract_x
_atom_site_fract_y
_atom_site_fract_z
Ba1 Ba 0.000 0.000 0.000
Li1 Li 0.000 0.000 0.500
Fe1 Fe 0.250 0.250 0.250
# Total moment, μB per atom: 1.346
# N(E_F), states/eV per atom: 2.381

Entry Q
# PBE BaLiFe2, relaxed
data_BaLiFe2
_cell_length_a 3.507
_cell_length_b 3.507
_cell_length_c 6.979
_cell_angle_alpha 90.00
_cell_angle_beta 90.00
_cell_angle_gamma 90.00
_symmetry_space_group_name_H-M 'P 4/m m m'
_symmetry_Int_Tables_number 123
_symmetry_space_group_name_Hall '-P 4 2'
loop_
_atom_site_label
_atom_site_type_symbol
_atom_site_fract_x
_atom_site_fract_y
_atom_site_fract_z
Ba1 Ba 0.000 0.000 0.000
Li1 Li 0.000 0.000 0.500
Fe1 Fe 0.500 0.500 0.344
# Total moment, μB per atom: 1.364
# N(E_F), states/eV per atom: 0.996

Which structure is most stable? entry Q, by 330 meV per atom over the runner-up.

Entry P
# PBE BaLiFe2, relaxed
data_BaLiFe2
_cell_length_a 6.790
_cell_length_b 3.919
_cell_length_c 6.629
_cell_angle_alpha 90.00
_cell_angle_beta 109.80
_cell_angle_gamma 90.00
_symmetry_space_group_name_H-M 'C 1 m 1'
_symmetry_Int_Tables_number 8
loop_
_symmetry_equiv_pos_as_xyz
'x,y,z'
'x,-y,z'
'x+1/2,y+1/2,z'
'x+1/2,-y+1/2,z'
loop_
_atom_site_label
_atom_site_type_symbol
_atom_site_fract_x
_atom_site_fract_y
_atom_site_fract_z
Ba1 Ba 0.000 0.000 0.000
Li1 Li 0.309 0.500 0.423
Fe1 Fe 0.039 0.500 0.614
Fe2 Fe 0.208 0.000 0.621
# Total moment, μB per atom: 0.315
# N(E_F), states/eV per atom: 1.260

Entry Q
# PBE BaLiFe2, relaxed
data_BaLiFe2
_cell_length_a 4.861
_cell_length_b 4.861
_cell_length_c 6.849
_cell_angle_alpha 90.00
_cell_angle_beta 90.00
_cell_angle_gamma 90.00
_symmetry_space_group_name_H-M 'I -4 m 2'
_symmetry_Int_Tables_number 119
_symmetry_space_group_name_Hall 'I -4 -2'
loop_
_atom_site_label
_atom_site_type_symbol
_atom_site_fract_x
_atom_site_fract_y
_atom_site_fract_z
Ba1 Ba 0.000 0.000 0.000
Li1 Li 0.000 0.500 0.250
Fe1 Fe 0.000 0.000 0.500
Fe2 Fe 0.000 0.500 0.750
# Total moment, μB per atom: 1.212
# N(E_F), states/eV per atom: 0.456

Entry R
# PBE BaLiFe2, relaxed
data_BaLiFe2
_cell_length_a 3.452
_cell_length_b 5.203
_cell_length_c 9.851
_cell_angle_alpha 90.00
_cell_angle_beta 90.00
_cell_angle_gamma 90.00
_symmetry_space_group_name_H-M 'I m m 2'
_symmetry_Int_Tables_number 44
loop_
_symmetry_equiv_pos_as_xyz
'x,y,z'
'-x,-y,z'
'-x,y,z'
'x,-y,z'
'x+1/2,y+1/2,z+1/2'
'-x+1/2,-y+1/2,z+1/2'
'-x+1/2,y+1/2,z+1/2'
'x+1/2,-y+1/2,z+1/2'
loop_
_atom_site_label
_atom_site_type_symbol
_atom_site_fract_x
_atom_site_fract_y
_atom_site_fract_z
Ba1 Ba 0.000 0.000 0.000
Li1 Li 0.000 0.500 0.203
Fe1 Fe 0.000 0.000 0.442
Fe2 Fe 0.000 0.500 0.786
# Total moment, μB per atom: 1.235
# N(E_F), states/eV per atom: 0.970

Entry S
# PBE BaLiFe2, relaxed
data_BaLiFe2
_cell_length_a 8.008
_cell_length_b 4.021
_cell_length_c 6.124
_cell_angle_alpha 90.00
_cell_angle_beta 111.04
_cell_angle_gamma 90.00
_symmetry_space_group_name_H-M 'C 1 2/m 1'
_symmetry_Int_Tables_number 12
loop_
_symmetry_equiv_pos_as_xyz
'x,y,z'
'-x,-y,-z'
'-x,y,-z'
'x,-y,z'
'x+1/2,y+1/2,z'
'-x+1/2,-y+1/2,-z'
'-x+1/2,y+1/2,-z'
'x+1/2,-y+1/2,z'
loop_
_atom_site_label
_atom_site_type_symbol
_atom_site_fract_x
_atom_site_fract_y
_atom_site_fract_z
Ba1 Ba 0.000 0.000 0.000
Li1 Li 0.000 0.500 0.500
Fe1 Fe 0.205 0.000 0.574
# Total moment, μB per atom: 1.215
# N(E_F), states/eV per atom: 0.939

Which structure is most stable? entry P, by 59 meV per atom over the runner-up.

Entry P
# PBE BaLiFe2, relaxed
data_BaLiFe2
_cell_length_a 3.1709
_cell_length_b 3.1709
_cell_length_c 28.5410
_cell_angle_alpha 90.00
_cell_angle_beta 90.00
_cell_angle_gamma 120.00
_symmetry_space_group_name_H-M 'R -3 m'
_symmetry_Int_Tables_number 166
_symmetry_space_group_name_Hall '-R 3 2"'
loop_
_atom_site_label
_atom_site_type_symbol
_atom_site_fract_x
_atom_site_fract_y
_atom_site_fract_z
Ba1 Ba 0.0000 0.0000 0.0000
Li1 Li 0.0000 0.0000 0.5000
Fe1 Fe 0.0000 0.0000 0.2378
# Total moment, μB per atom: 1.340
# N(E_F), states/eV per atom: 1.618

Entry Q
# PBE BaLiFe2, relaxed
data_BaLiFe2
_cell_length_a 5.535
_cell_length_b 9.305
_cell_length_c 3.145
_cell_angle_alpha 90.00
_cell_angle_beta 90.00
_cell_angle_gamma 90.00
_symmetry_space_group_name_H-M 'C m m m'
_symmetry_Int_Tables_number 65
_symmetry_space_group_name_Hall '-C 2 2'
loop_
_atom_site_label
_atom_site_type_symbol
_atom_site_fract_x
_atom_site_fract_y
_atom_site_fract_z
Ba1 Ba 0.000 0.000 0.000
Li1 Li 0.000 0.500 0.000
Fe1 Fe 0.250 0.250 0.500
# Total moment, μB per atom: 1.253
# N(E_F), states/eV per atom: 1.180

Entry R
# PBE BaLiFe2, relaxed
data_BaLiFe2
_cell_length_a 5.478
_cell_length_b 10.049
_cell_length_c 3.123
_cell_angle_alpha 90.00
_cell_angle_beta 117.36
_cell_angle_gamma 90.00
_symmetry_space_group_name_H-M 'C 1 2/m 1'
_symmetry_Int_Tables_number 12
loop_
_symmetry_equiv_pos_as_xyz
'x,y,z'
'-x,-y,-z'
'-x,y,-z'
'x,-y,z'
'x+1/2,y+1/2,z'
'-x+1/2,-y+1/2,-z'
'-x+1/2,y+1/2,-z'
'x+1/2,-y+1/2,z'
loop_
_atom_site_label
_atom_site_type_symbol
_atom_site_fract_x
_atom_site_fract_y
_atom_site_fract_z
Ba1 Ba 0.000 0.000 0.000
Li1 Li 0.000 0.500 0.000
Fe1 Fe 0.250 0.250 0.500
# Total moment, μB per atom: 1.192
# N(E_F), states/eV per atom: 1.150

Which structure is most stable? entry R, by 17 meV per atom over the runner-up.